Entry 1:
A geometry-optimized K3ScTa2O9 structure, computed with PBE.

Lattice parameters (Å, degrees): 5.7942 5.7942 7.1083 90.00 90.00 120.00
Last column: nearest neighbours and their distance in Å.
Fractional coordinates of all 15 atoms:
1 O 0.5000 0.0000 0.0000  2 Ta 2.07
2 O 0.1717 0.8283 0.3246  1 Ta 1.96, 1 Sc 2.13
3 O 0.5000 0.5000 0.0000  2 Ta 2.07
4 O 0.8283 0.1717 0.6754  1 Ta 1.96, 1 Sc 2.13
5 O 0.8283 0.6566 0.6754  1 Ta 1.96, 1 Sc 2.13
6 O 0.0000 0.5000 0.0000  2 Ta 2.07
7 O 0.3434 0.1717 0.6754  1 Ta 1.96, 1 Sc 2.13
8 O 0.6566 0.8283 0.3246  1 Ta 1.96, 1 Sc 2.13
9 O 0.1717 0.3434 0.3246  1 Ta 1.96, 1 Sc 2.13
10 Sc 0.0000 0.0000 0.5000  6 O 2.13
11 K 0.0000 0.0000 0.0000  12 O 2.88-2.90
12 K 0.6667 0.3333 0.3352  12 O 2.90-2.91
13 K 0.3333 0.6667 0.6648  12 O 2.90-2.91
14 Ta 0.6667 0.3333 0.8291  6 O 1.96-2.07
15 Ta 0.3333 0.6667 0.1709  6 O 1.96-2.07

Properties
E   -7.650 eV per atom
SG   P-3m1, No. 164
Formation energy from raw total energies   -2.453 eV/atom

---

Entry 2:
A geometry-optimized K4Tb3ScO8 structure, computed with PBE.

Lattice parameters (Å, degrees): 6.8889 7.4050 6.8889 117.73 120.00 90.00
Last column: nearest neighbours and their distance in Å.
Fractional coordinates of all 16 atoms:
1 O 0.2211 0.6828 0.4421  1 Sc 2.23, 2 Tb 2.33
2 O 0.2593 0.3172 0.0382  1 Sc 2.23, 2 Tb 2.33
3 O 0.2211 0.6828 0.9618  1 Sc 2.23, 2 Tb 2.33
4 O 0.7789 0.3172 0.0382  1 Sc 2.23, 2 Tb 2.33
5 O 0.7292 0.6875 0.4584  3 Tb 2.31
6 O 0.2708 0.3125 0.5416  3 Tb 2.31
7 O 0.7407 0.6828 0.9618  1 Sc 2.23, 2 Tb 2.33
8 O 0.7789 0.3172 0.5579  1 Sc 2.23, 2 Tb 2.33
9 K 0.5000 0.0000 0.5000  6 O 2.78-2.79
10 K 0.0000 0.0000 0.5000  6 O 2.78-2.79
11 K 0.5000 0.0000 0.0000  6 O 2.86
12 K 0.0000 0.0000 0.0000  6 O 2.78-2.79
13 Sc 0.0000 0.5000 0.0000  6 O 2.23
14 Tb 0.5000 0.5000 0.5000  6 O 2.31-2.33
15 Tb 0.0000 0.5000 0.5000  6 O 2.31-2.33
16 Tb 0.5000 0.5000 0.0000  6 O 2.31-2.33

Properties
E   -6.749 eV per atom
SG   R-3m, No. 166
Formation energy from raw total energies   -2.732 eV/atom

---

Entry 3:
A geometry-optimized KScTc2O8 structure, computed with PBE.

Lattice parameters (Å, degrees): 5.8327 5.8327 7.4421 90.00 90.00 120.00
Last column: nearest neighbours and their distance in Å.
Fractional coordinates of all 12 atoms:
1 Sc 0.0000 0.0000 0.5000  6 O 2.10
2 O 0.1636 0.3315 0.6704  1 Tc 1.80
3 O 0.3333 0.6667 0.9852  1 Tc 1.75
4 O 0.6685 0.8321 0.6704  1 Tc 1.80
5 O 0.3315 0.1679 0.3296  1 Tc 1.80
6 O 0.8364 0.6685 0.3296  1 Tc 1.80
7 O 0.8321 0.1636 0.3296  1 Tc 1.80
8 O 0.1679 0.8364 0.6704  1 Tc 1.80
9 O 0.6667 0.3333 0.0148  1 Tc 1.75
10 Tc 0.3333 0.6667 0.7506  4 O 1.75-1.80
11 Tc 0.6667 0.3333 0.2494  4 O 1.75-1.80
12 K 0.0000 0.0000 0.0000  6 O 2.97

Properties
E   -7.546 eV per atom
SG   P-3, No. 147
Formation energy from raw total energies   -1.894 eV/atom

---

Entry 4:
A geometry-optimized K3ScTc2O9 structure, computed with PBE.

Lattice parameters (Å, degrees): 5.6502 5.6502 6.9454 90.00 90.00 120.00
Last column: nearest neighbours and their distance in Å.
Fractional coordinates of all 15 atoms:
1 O 0.1743 0.3486 0.3204  1 Tc 1.88
2 O 0.8257 0.6514 0.6796  1 Tc 1.88
3 O 0.5000 0.0000 0.0000  2 Tc 2.00
4 O 0.6514 0.8257 0.3204  1 Tc 1.88
5 O 0.3486 0.1743 0.6796  1 Tc 1.88
6 O 0.0000 0.5000 0.0000  2 Tc 2.00
7 O 0.5000 0.5000 0.0000  2 Tc 2.00
8 O 0.8257 0.1743 0.6796  1 Tc 1.88
9 O 0.1743 0.8257 0.3204  1 Tc 1.88
10 Sc 0.0000 0.0000 0.5000  6 O 2.11
11 K 0.3333 0.6667 0.6671  12 O 2.83-2.87
12 K 0.0000 0.0000 0.0000  12 O 2.80-2.83
13 K 0.6667 0.3333 0.3329  12 O 2.83-2.87
14 Tc 0.3333 0.6667 0.1673  6 O 1.88-2.00
15 Tc 0.6667 0.3333 0.8327  6 O 1.88-2.00

Properties
E   -6.890 eV per atom
SG   P-3m1, No. 164
Formation energy from raw total energies   -1.891 eV/atom

---

Entry 5:
A geometry-optimized K2ScTcO6 structure, computed with PBE.

Lattice parameters (Å, degrees): 5.4154 6.1367 6.1367 120.00 90.00 90.00
Last column: nearest neighbours and their distance in Å.
Fractional coordinates of all 10 atoms:
1 K 0.1458 0.3333 0.6667  9 O 2.84-3.11
2 K 0.8542 0.6667 0.3333  9 O 2.84-3.11
3 O 0.2186 0.2820 0.1410  1 Tc 1.91, 1 Sc 2.14
4 O 0.2186 0.8590 0.1410  1 Tc 1.91, 1 Sc 2.14
5 O 0.7814 0.1410 0.8590  1 Tc 1.91, 1 Sc 2.14
6 O 0.7814 0.7180 0.8590  1 Tc 1.91, 1 Sc 2.14
7 O 0.2186 0.8590 0.7180  1 Tc 1.91, 1 Sc 2.14
8 O 0.7814 0.1410 0.2820  1 Tc 1.91, 1 Sc 2.14
9 Tc 0.0000 0.0000 0.0000  6 O 1.91
10 Sc 0.5000 0.0000 0.0000  6 O 2.14

Properties
E   -6.722 eV per atom
SG   P-3m1, No. 164
Formation energy from raw total energies   -1.858 eV/atom

---

Entry 6:
A geometry-optimized KScTe2O8 structure, computed with PBE.

Lattice parameters (Å, degrees): 5.6332 5.6332 7.9446 90.00 90.00 120.00
Last column: nearest neighbours and their distance in Å.
Fractional coordinates of all 12 atoms:
1 O 0.3249 0.2551 0.3388  1 Te 1.85
2 O 0.9302 0.6751 0.3388  1 Te 1.85
3 O 0.7449 0.0698 0.3388  1 Te 1.85
4 O 0.6751 0.7449 0.6612  1 Te 1.85
5 O 0.2551 0.9302 0.6612  1 Te 1.85
6 O 0.3333 0.6667 0.9662  1 Te 1.82
7 O 0.0698 0.3249 0.6612  1 Te 1.85
8 O 0.6667 0.3333 0.0338  1 Te 1.82
9 Te 0.3333 0.6667 0.7376  4 O 1.82-1.85
10 Te 0.6667 0.3333 0.2624  4 O 1.82-1.85
11 K 0.0000 0.0000 0.0000  12 O 3.17-3.26
12 Sc 0.0000 0.0000 0.5000  6 O 2.10

Properties
E   -5.977 eV per atom
SG   P-3, No. 147
Formation energy from raw total energies   -1.529 eV/atom

---

Entry 7:
A geometry-optimized K2Sc2TeO6 structure, computed with PBE.

Lattice parameters (Å, degrees): 5.6639 5.6639 6.5986 98.28 98.28 119.98
Last column: nearest neighbours and their distance in Å.
Fractional coordinates of all 11 atoms:
1 K 0.8324 0.1676 0.0000  6 O 2.76-2.82
2 K 0.1676 0.8324 0.0000  6 O 2.76-2.82
3 O 0.2796 0.2796 0.3282  2 Sc 2.16, 1 Te 2.20
4 O 0.9475 0.6019 0.3284  2 Sc 2.14-2.17, 1 Te 2.23
5 O 0.7204 0.7204 0.6718  2 Sc 2.16, 1 Te 2.20
6 O 0.0525 0.3981 0.6716  2 Sc 2.14-2.17, 1 Te 2.23
7 O 0.6019 0.9475 0.3284  2 Sc 2.14-2.17, 1 Te 2.23
8 O 0.3981 0.0525 0.6716  2 Sc 2.14-2.17, 1 Te 2.23
9 Sc 0.3344 0.6656 0.5000  6 O 2.14-2.17
10 Sc 0.6656 0.3344 0.5000  6 O 2.14-2.17
11 Te 0.0000 0.0000 0.5000  6 O 2.20-2.23

Properties
E   -6.634 eV per atom
SG   C2/m, No. 12
Formation energy from raw total energies   -2.293 eV/atom

---

Entry 8:
A geometry-optimized K2ScTe2O6 structure, computed with PBE.

Lattice parameters (Å, degrees): 6.8477 5.9248 6.3588 106.21 90.00 125.30
Last column: nearest neighbours and their distance in Å.
Fractional coordinates of all 11 atoms:
1 O 0.2649 0.9491 0.7235  1 Te 2.01, 1 Sc 2.09
2 O 0.3158 0.0509 0.2765  1 Te 2.01, 1 Sc 2.09
3 O 0.7429 0.4859 0.6885  1 Te 1.89
4 O 0.6842 0.9491 0.7235  1 Te 2.01, 1 Sc 2.09
5 O 0.7351 0.0509 0.2765  1 Te 2.01, 1 Sc 2.09
6 O 0.2571 0.5141 0.3115  1 Te 1.89
7 Sc 0.5000 0.0000 0.5000  6 O 2.09-2.24
8 K 0.3195 0.6389 0.9149  5 O 2.65-2.86
9 K 0.6805 0.3611 0.0851  5 O 2.65-2.86
10 Te 0.9455 0.8910 0.7295  3 O 1.89-2.01
11 Te 0.0545 0.1090 0.2705  3 O 1.89-2.01

Properties
E   -5.660 eV per atom
SG   C2/m, No. 12
Formation energy from raw total energies   -1.609 eV/atom

---

Entry 9:
A geometry-optimized K3Sc2TiO6 structure, computed with PBE.

Lattice parameters (Å, degrees): 5.5762 5.5762 6.3914 98.34 98.34 120.01
Last column: nearest neighbours and their distance in Å.
Fractional coordinates of all 12 atoms:
1 O 0.3856 0.0585 0.1758  1 Ti 2.12, 2 Sc 2.16
2 O 0.9415 0.6144 0.8242  1 Ti 2.12, 2 Sc 2.16
3 O 0.0585 0.3856 0.1758  1 Ti 2.12, 2 Sc 2.16
4 O 0.6144 0.9415 0.8242  1 Ti 2.12, 2 Sc 2.16
5 O 0.7314 0.7314 0.1751  1 Ti 2.11, 2 Sc 2.16
6 O 0.2686 0.2686 0.8249  1 Ti 2.11, 2 Sc 2.16
7 K 0.1644 0.8356 0.5000  6 O 2.70-2.76
8 K 0.5000 0.5000 0.5000  6 O 2.71-2.74
9 K 0.8356 0.1644 0.5000  6 O 2.70-2.76
10 Ti 0.0000 0.0000 0.0000  6 O 2.11-2.12
11 Sc 0.6669 0.3331 0.0000  6 O 2.16
12 Sc 0.3331 0.6669 0.0000  6 O 2.16

Properties
E   -7.054 eV per atom
SG   C2/m, No. 12
Formation energy from raw total energies   -2.587 eV/atom

---

Entry 10:
A geometry-optimized KScTiO4 structure, computed with PBE.

Lattice parameters (Å, degrees): 5.5933 5.7355 7.9645 90.00 116.13 90.00
Last column: nearest neighbours and their distance in Å.
Fractional coordinates of all 14 atoms:
1 Sc 0.8112 0.7500 0.4638  6 O 2.12-2.23
2 Sc 0.1888 0.2500 0.5362  6 O 2.12-2.23
3 O 0.0044 0.5159 0.3364  1 Ti 1.87
4 O 0.4893 0.2500 0.4370  1 Ti 1.78
5 O 0.4457 0.7500 0.2107  1 Ti 1.83
6 O 0.0044 0.9841 0.3364  1 Ti 1.87
7 O 0.5543 0.2500 0.7893  1 Ti 1.83
8 O 0.9956 0.4841 0.6636  1 Ti 1.87
9 O 0.9956 0.0159 0.6636  1 Ti 1.87
10 O 0.5107 0.7500 0.5630  1 Ti 1.78
11 K 0.5413 0.2500 0.1259  4 O 2.62-2.83
12 K 0.4587 0.7500 0.8741  4 O 2.62-2.83
13 Ti 0.7623 0.2500 0.6642  4 O 1.78-1.87
14 Ti 0.2377 0.7500 0.3358  4 O 1.78-1.87

Properties
E   -7.902 eV per atom
SG   P2_1/m, No. 11
Formation energy from raw total energies   -2.880 eV/atom